[1]
ZrBe2Tc: relaxed, PBE.

Geometry as CIF:
```
data_ZrBe2Tc
_cell_length_a 5.970
_cell_length_b 5.970
_cell_length_c 5.970
_cell_angle_alpha 90.00
_cell_angle_beta 90.00
_cell_angle_gamma 90.00
_space_group_name_H-M_alt 'F m -3 m'
_space_group_IT_number 225
_space_group_name_Hall '-F 4 2 3'
loop_
_atom_site_label
_atom_site_type_symbol
_atom_site_fract_x
_atom_site_fract_y
_atom_site_fract_z
Zr1 Zr 0.000 0.000 0.000
Be1 Be 0.250 0.250 0.250
Tc1 Tc 0.000 0.000 0.500
```

Calculated values
polymorph energy (0 for the lowest one): 0.175 eV per atom
total moment: 0.00 μB/cell
energy of formation from the pure elements: -0.079 eV/atom

---

[2]
ZrBeTc3: relaxed, PBE.

Geometry as CIF:
```
data_ZrBeTc3
_cell_length_a 4.240
_cell_length_b 4.240
_cell_length_c 4.240
_cell_angle_alpha 90.00
_cell_angle_beta 90.00
_cell_angle_gamma 90.00
_space_group_name_H-M_alt 'P m -3 m'
_space_group_IT_number 221
_space_group_name_Hall '-P 4 2 3'
loop_
_atom_site_label
_atom_site_type_symbol
_atom_site_fract_x
_atom_site_fract_y
_atom_site_fract_z
Zr1 Zr 0.000 0.000 0.000
Be1 Be 0.500 0.500 0.500
Tc1 Tc 0.000 0.500 0.500
```

Calculated values
polymorph energy (0 for the lowest one): 0.000 eV per atom
total moment: 0.00 μB/cell
energy of formation from the pure elements: 0.277 eV/atom

---

[3]
ZrBeTc2: relaxed, PBE.

Geometry as CIF:
```
data_ZrBeTc2
_cell_length_a 3.175
_cell_length_b 4.301
_cell_length_c 8.918
_cell_angle_alpha 90.00
_cell_angle_beta 90.00
_cell_angle_gamma 90.00
_space_group_name_H-M_alt 'I m m 2'
_space_group_IT_number 44
loop_
_space_group_symop_operation_xyz
'x,y,z'
'-x,-y,z'
'-x,y,z'
'x,-y,z'
'x+1/2,y+1/2,z+1/2'
'-x+1/2,-y+1/2,z+1/2'
'-x+1/2,y+1/2,z+1/2'
'x+1/2,-y+1/2,z+1/2'
loop_
_atom_site_label
_atom_site_type_symbol
_atom_site_fract_x
_atom_site_fract_y
_atom_site_fract_z
Zr1 Zr 0.000 0.000 0.000
Be1 Be 0.000 0.500 0.225
Tc1 Tc 0.000 0.000 0.491
Tc2 Tc 0.000 0.500 0.756
```

Calculated values
total moment: 0.00 μB/cell
energy of formation from the pure elements: -0.008 eV/atom

---

[4]
ZrBe2Tc: relaxed, PBE.

Geometry as CIF:
```
data_ZrBe2Tc
_cell_length_a 5.252
_cell_length_b 6.264
_cell_length_c 3.258
_cell_angle_alpha 90.00
_cell_angle_beta 90.00
_cell_angle_gamma 90.00
_space_group_name_H-M_alt 'C m m m'
_space_group_IT_number 65
_space_group_name_Hall '-C 2 2'
loop_
_atom_site_label
_atom_site_type_symbol
_atom_site_fract_x
_atom_site_fract_y
_atom_site_fract_z
Zr1 Zr 0.000 0.000 0.000
Be1 Be 0.250 0.250 0.500
Tc1 Tc 0.000 0.500 0.000
```

Calculated values
polymorph energy (0 for the lowest one): 0.231 eV per atom
total moment: 0.00 μB/cell
energy of formation from the pure elements: -0.022 eV/atom

---

[5]
ZrBe2Tc: relaxed, PBE.

Geometry as CIF:
```
data_ZrBe2Tc
_cell_length_a 3.121
_cell_length_b 3.121
_cell_length_c 5.473
_cell_angle_alpha 90.00
_cell_angle_beta 90.00
_cell_angle_gamma 90.00
_space_group_name_H-M_alt 'P 4/m m m'
_space_group_IT_number 123
_space_group_name_Hall '-P 4 2'
loop_
_atom_site_label
_atom_site_type_symbol
_atom_site_fract_x
_atom_site_fract_y
_atom_site_fract_z
Zr1 Zr 0.000 0.000 0.000
Be1 Be 0.500 0.500 0.309
Tc1 Tc 0.000 0.000 0.500
```

Calculated values
polymorph energy (0 for the lowest one): 0.068 eV per atom
total moment: 0.00 μB/cell
energy of formation from the pure elements: -0.185 eV/atom

---

[6]
ZrBe2Tc: relaxed, PBE.

Geometry as CIF:
```
data_ZrBe2Tc
_cell_length_a 3.306
_cell_length_b 4.078
_cell_length_c 8.083
_cell_angle_alpha 90.00
_cell_angle_beta 90.00
_cell_angle_gamma 90.00
_space_group_name_H-M_alt 'I m m 2'
_space_group_IT_number 44
loop_
_space_group_symop_operation_xyz
'x,y,z'
'-x,-y,z'
'-x,y,z'
'x,-y,z'
'x+1/2,y+1/2,z+1/2'
'-x+1/2,-y+1/2,z+1/2'
'-x+1/2,y+1/2,z+1/2'
'x+1/2,-y+1/2,z+1/2'
loop_
_atom_site_label
_atom_site_type_symbol
_atom_site_fract_x
_atom_site_fract_y
_atom_site_fract_z
Zr1 Zr 0.000 0.000 0.000
Be1 Be 0.000 0.000 0.439
Be2 Be 0.000 0.500 0.768
Tc1 Tc 0.000 0.500 0.227
```

Calculated values
polymorph energy (0 for the lowest one): 0.219 eV per atom
total moment: 0.00 μB/cell
energy of formation from the pure elements: -0.034 eV/atom

---

[7]
ZrBeTc2: relaxed, PBE.

Geometry as CIF:
```
data_ZrBeTc2
_cell_length_a 3.909
_cell_length_b 3.909
_cell_length_c 17.588
_cell_angle_alpha 90.00
_cell_angle_beta 90.00
_cell_angle_gamma 90.00
_space_group_name_H-M_alt 'I -4 2 d'
_space_group_IT_number 122
_space_group_name_Hall 'I -4 2bw'
loop_
_atom_site_label
_atom_site_type_symbol
_atom_site_fract_x
_atom_site_fract_y
_atom_site_fract_z
Zr1 Zr 0.000 0.000 0.000
Be1 Be 0.000 0.000 0.500
Tc1 Tc 0.175 0.750 0.625
```

Calculated values
total moment: 0.00 μB/cell
energy of formation from the pure elements: 0.352 eV/atom

---

[8]
ZrBe2Tc: relaxed, PBE.

Geometry as CIF:
```
data_ZrBe2Tc
_cell_length_a 3.969
_cell_length_b 3.969
_cell_length_c 3.420
_cell_angle_alpha 90.00
_cell_angle_beta 90.00
_cell_angle_gamma 90.00
_space_group_name_H-M_alt 'P 4/m m m'
_space_group_IT_number 123
_space_group_name_Hall '-P 4 2'
loop_
_atom_site_label
_atom_site_type_symbol
_atom_site_fract_x
_atom_site_fract_y
_atom_site_fract_z
Zr1 Zr 0.000 0.000 0.000
Be1 Be 0.000 0.500 0.500
Tc1 Tc 0.500 0.500 0.000
```

Calculated values
polymorph energy (0 for the lowest one): 0.228 eV per atom
total moment: 0.00 μB/cell
energy of formation from the pure elements: -0.025 eV/atom